Crystalline LuPuPt2 at its relaxed geometry, computed with PBE-GGA.

Summary:
* space-group type: P4/mmm (123)
* D(E_F): 11.12 states/eV/f.u.
* E_form: -1014 meV per atom
* uncorrected energy: -8.748 eV per atom

Cell lengths 3.4012, 3.4012, 7.1942 Å; angles 90.00, 90.00, 90.00 degrees
Last column: magnetic moment on the atom in μB.
Element x y z (fractional)
Pt (0.0000, 0.0000, 0.7718)  0.01
Lu (0.5000, 0.5000, 0.0000)  0.07
Pu (0.5000, 0.5000, 0.5000)  5.30
Pt (0.0000, 0.0000, 0.2282)  0.01